[1]
Material: CuHg4
Method: DFT, SCAN
State: single point on PBEsol structure

Output
ΔH_f (0 K) = 0.11 eV per atom

abc: 2.8790 6.2082 6.2082
angles: 86.92 76.59 76.59
Last column: nearest neighbours and their distance in Å.
Sites, in units of the cell vectors:
1 Hg 0.4961 0.2748 0.7331  2 Cu 2.72, 2 Hg 2.88
2 Hg 0.2292 0.2669 0.2748  2 Cu 2.72, 2 Hg 2.88
3 Hg 0.7708 0.7331 0.7252  2 Cu 2.72, 2 Hg 2.88
4 Hg 0.5039 0.7252 0.2669  2 Cu 2.72, 2 Hg 2.88
5 Cu 0.0000 0.0000 0.0000  8 Hg 2.72, 2 Cu 2.88


[2]
Material: RbBrF2
Method: DFT, SCAN
State: single point on PBEsol structure

Output
E_form (uncorrected) = -7.44 eV per formula unit

abc: 4.5259 4.5259 6.5572
angles: 69.81 69.81 60.00
Last column: nearest neighbours and their distance in Å.
Sites, in units of the cell vectors:
1 F 0.8904 0.8904 0.3289  1 Br 1.98
2 F 0.1096 0.1096 0.6711  1 Br 1.98
3 Rb 0.5000 0.5000 0.5000  6 F 2.81
4 Br 0.0000 0.0000 0.0000  2 F 1.98


no.,V (Å³ per cell),ρ (Mg/m³)
1,105,13.7
2,107,3.2